(1)
{"formula": "DyNbH4", "functional": "PBE-GGA", "state": "optimized geometry", "spacegroup": "No. 123", "vol_a3_per_atom": 9.358, "e_tot_ev_per_cell": -30.7, "magmom_total_mub_per_cell": 0.03, "lattice": [[3.452, 0.000, 0.000], [0.000, 3.452, 0.000], [0.000, 0.000, 4.711]], "species": ["Dy", "Nb", "H", "H", "H", "H"], "frac_coords": [[0.000, 0.000, 0.000], [0.500, 0.500, 0.500], [0.000, 0.500, 0.286], [0.000, 0.500, 0.714], [0.500, 0.000, 0.286], [0.500, 0.000, 0.714]]}



(2)
{"formula": "LiZr2In2CuPd2", "functional": "PBE-GGA", "state": "optimized geometry", "spacegroup": "No. 115", "vol_a3_per_atom": 17.536, "e_tot_ev_per_cell": -42.7, "magmom_total_mub_per_cell": 0.00, "lattice": [[4.623, 0.000, 0.000], [0.000, 4.623, 0.000], [0.000, 0.000, 6.563]], "species": ["Li", "Zr", "Zr", "In", "In", "Cu", "Pd", "Pd"], "frac_coords": [[0.000, 0.000, 0.000], [0.000, 0.500, 0.256], [0.500, 0.000, 0.744], [0.000, 0.500, 0.752], [0.500, 0.000, 0.248], [0.500, 0.500, 0.500], [0.000, 0.000, 0.500], [0.500, 0.500, 0.000]]}